This record from Alexandria describes crystalline InRe4Si at its relaxed geometry. The functional is PBE.

Energy = -8.95 eV/atom
Raw formation energy = 705 meV per atom
Total magnetization = 0.00 μB/cell

abc: 5.2478 5.2478 5.2478
angles: 60.00 60.00 60.00
Closest atoms and distances in Å follow each position.
Element x y z (fractional)
In (0.0000, 0.0000, 0.0000)  12 Re 3.08, 4 Si 3.21
Re (0.6248, 0.6248, 0.1257)  6 Re 2.62-2.63
Re (0.6248, 0.1257, 0.6248)  6 Re 2.62-2.63
Re (0.6248, 0.6248, 0.6248)  6 Re 2.62-2.63
Re (0.1257, 0.6248, 0.6248)  6 Re 2.62-2.63
Si (0.2500, 0.2500, 0.2500)  12 Re 3.08, 4 In 3.21

---

This record from Alexandria describes crystalline InRe2Si at its relaxed geometry. The functional is PBE.

ΔE to the lowest computed polymorph = 125 meV per atom
Energy = -7.94 eV/atom
Raw formation energy = 326 meV per atom
Total magnetization = 0.00 μB/cell

abc: 3.9058 2.9516 5.8627
angles: 72.15 90.00 90.00
Closest atoms and distances in Å follow each position.
Element x y z (fractional)
In (0.5000, 0.7500, 0.7500)  2 Si 2.85, 8 Re 2.89-2.98, 2 In 2.95
Re (0.0000, 0.1035, 0.0393)  2 Si 2.42, 1 Re 2.70
Re (0.0000, 0.3965, 0.4607)  2 Si 2.42, 1 Re 2.70
Si (0.5000, 0.2500, 0.2500)  4 Re 2.42

---

This record from Alexandria describes crystalline InRe2Si at its relaxed geometry. The functional is PBE.

ΔE to the lowest computed polymorph = 352 meV per atom
Energy = -7.71 eV/atom
Raw formation energy = 553 meV per atom
Total magnetization = 0.00 μB/cell

abc: 4.8858 4.8858 4.8858
angles: 132.11 132.11 70.06
Closest atoms and distances in Å follow each position.
Element x y z (fractional)
In (0.7500, 0.2500, 0.5000)  8 Re 2.80-2.82, 4 Si 2.82
Re (0.0000, 0.0000, 0.0000)  4 Si 2.80, 4 Re 2.82, 4 In 2.82
Re (0.2500, 0.7500, 0.5000)  4 In 2.80, 4 Si 2.82, 4 Re 2.82
Si (0.5000, 0.5000, 0.0000)  8 Re 2.80-2.82, 4 In 2.82

---

This record from Alexandria describes crystalline TaIn2ReSi at its relaxed geometry. The functional is PBE.

Energy = -5.31 eV/atom
Raw formation energy = 1733 meV per atom
Total magnetization = 4.50 μB/cell

abc: 5.3744 4.8199 5.3744
angles: 90.00 90.00 90.00
Closest atoms and distances in Å follow each position.
Element x y z (fractional)
Re (0.5000, 0.5000, 0.5000)  8 In 3.61, 4 Si 3.80
Si (0.0000, 0.5000, 0.0000)  2 Ta 2.41
In (0.0000, 0.0000, 0.5000)  2 Ta 2.69
In (0.5000, 0.0000, 0.0000)  2 Ta 2.69
Ta (0.0000, 0.0000, 0.0000)  2 Si 2.41, 4 In 2.69

---

This record from Alexandria describes crystalline InRe2SiTe at its relaxed geometry. The functional is PBE.

Energy = -4.89 eV/atom
Raw formation energy = 2347 meV per atom
Total magnetization = 1.26 μB/cell

abc: 4.8866 5.5924 4.8866
angles: 90.00 90.00 90.00
Closest atoms and distances in Å follow each position.
Element x y z (fractional)
Re (0.0000, 0.0000, 0.5000)  2 Te 2.44
Re (0.5000, 0.0000, 0.0000)  2 Te 2.44
Si (0.5000, 0.5000, 0.5000)  4 In 3.46, 8 Re 3.71
Te (0.0000, 0.0000, 0.0000)  4 Re 2.44
In (0.0000, 0.5000, 0.0000)  2 Te 2.80

---

This record from Alexandria describes crystalline VInRe2Si at its relaxed geometry. The functional is PBE.

Energy = -7.14 eV/atom
Raw formation energy = 1291 meV per atom
Total magnetization = 0.00 μB/cell

abc: 4.5962 4.4319 4.5962
angles: 90.00 90.00 90.00
Closest atoms and distances in Å follow each position.
Element x y z (fractional)
Re (0.0000, 0.0000, 0.5000)  2 V 2.30
Re (0.5000, 0.0000, 0.0000)  2 V 2.30
Si (0.0000, 0.5000, 0.0000)  2 V 2.22
V (0.0000, 0.0000, 0.0000)  2 Si 2.22, 4 Re 2.30
In (0.5000, 0.5000, 0.5000)  8 Re 3.19, 4 Si 3.25